(1)
Below is a relaxed structure of NaZnBiPd, with properties calculated at the PBE level.

Geometry as POSCAR:
```
NaZnBiPd
1.0
0.0000 3.4158 3.4158
3.4158 0.0000 3.4158
3.4158 3.4158 0.0000
Na Zn Bi Pd
1 1 1 1
Direct
0.0000 0.0000 0.0000
0.7500 0.7500 0.7500
0.2500 0.2500 0.2500
0.5000 0.5000 0.5000
```

Results
Distance to the lowest polymorph of the same formula, meV/atom: 0.0

***

(2)
Below is a relaxed structure of GdGeSO, with properties calculated at the PBE level.

Geometry as POSCAR:
```
GdGeSO
1.0
6.5157 0.0000 0.0000
0.0000 13.2522 0.0000
0.0000 0.0000 7.5434
Gd Ge S O
8 8 8 8
Direct
0.1642 0.2320 0.1181
0.1642 0.2680 0.6181
0.3358 0.7320 0.1181
0.3358 0.7680 0.6181
0.6642 0.2320 0.3819
0.6642 0.2680 0.8819
0.8358 0.7320 0.3819
0.8358 0.7680 0.8819
0.2202 0.5119 0.5133
0.2202 0.9881 0.0133
0.2798 0.0119 0.5133
0.2798 0.4881 0.0133
0.7202 0.5119 0.9867
0.7202 0.9881 0.4867
0.7798 0.0119 0.9867
0.7798 0.4881 0.4867
0.0038 0.0768 0.3320
0.0038 0.4232 0.8320
0.4962 0.5768 0.3320
0.4962 0.9232 0.8320
0.5038 0.0768 0.1680
0.5038 0.4232 0.6680
0.9962 0.5768 0.1680
0.9962 0.9232 0.6680
0.1681 0.7332 0.8616
0.1681 0.7668 0.3616
0.3319 0.2332 0.8616
0.3319 0.2668 0.3616
0.6681 0.7332 0.6384
0.6681 0.7668 0.1384
0.8319 0.2332 0.6384
0.8319 0.2668 0.1384
```

Results
Total magnetization, μB/cell: 0.00
Distance to the lowest polymorph of the same formula, meV/atom: 28.7

***

(3)
Below is a relaxed structure of CdSb2Pt, with properties calculated at the PBE level.

Geometry as POSCAR:
```
CdSb2Pt
1.0
0.0000 3.5627 3.5627
3.5627 0.0000 3.5627
3.5627 3.5627 0.0000
Cd Sb Pt
1 2 1
Direct
0.0000 0.0000 0.0000
0.2500 0.2500 0.2500
0.5000 0.5000 0.5000
0.7500 0.7500 0.7500
```

Results
VASP energy, eV per cell: -14.48
Total magnetization, μB/cell: 0.00

***

(4)
Below is a relaxed structure of Ba2Cd, with properties calculated at the PBE level.

Geometry as POSCAR:
```
Ba2Cd
1.0
7.9366 0.0000 0.0000
0.0000 5.9061 0.0000
0.0000 0.0000 11.1001
Ba Cd
8 4
Direct
0.0326 0.2500 0.1956
0.1699 0.2500 0.5681
0.3301 0.7500 0.0681
0.4674 0.7500 0.6956
0.5326 0.2500 0.3044
0.6699 0.2500 0.9319
0.8301 0.7500 0.4319
0.9674 0.7500 0.8044
0.2155 0.2500 0.8908
0.2845 0.7500 0.3908
0.7155 0.2500 0.6092
0.7845 0.7500 0.1092
```

Results
VASP energy, eV per cell: -21.41

***

(5)
Below is a relaxed structure of Tb3ZrO6, with properties calculated at the PBE level.

Geometry as POSCAR:
```
Tb3ZrO6
1.0
4.5238 -5.4858 0.0000
4.5238 5.4858 0.0000
0.0000 0.0000 5.5796
Tb Zr O
6 2 12
Direct
0.1018 0.8982 0.5000
0.1958 0.4064 0.5517
0.4064 0.1958 0.0517
0.5936 0.8042 0.5517
0.8042 0.5936 0.0517
0.8982 0.1018 0.0000
0.3366 0.6634 0.0662
0.6634 0.3366 0.5662
0.0874 0.5995 0.2590
0.1388 0.1727 0.2772
0.1727 0.1388 0.7772
0.2784 0.7216 0.7197
0.4005 0.9126 0.2590
0.4866 0.5134 0.3343
0.5134 0.4866 0.8343
0.5995 0.0874 0.7590
0.7216 0.2784 0.2197
0.8273 0.8612 0.2772
0.8612 0.8273 0.7772
0.9126 0.4005 0.7590
```

Results
VASP energy, eV per cell: -170.60
Total magnetization, μB/cell: 0.01

***

(6)
Below is a relaxed structure of NdGd2Mg3AgAu2, with properties calculated at the PBE level.

Geometry as POSCAR:
```
NdGd2Mg3AgAu2
1.0
4.0406 0.0000 0.0000
0.0000 6.7991 3.9107
0.0000 -6.7991 3.9107
Nd Gd Mg Ag Au
1 2 3 1 2
Direct
0.0000 0.0000 0.0000
0.0000 0.1712 0.5856
0.0000 0.5856 0.1712
0.5000 0.3387 0.3387
0.5000 0.5834 0.8337
0.5000 0.8337 0.5834
0.0000 0.5831 0.5831
0.5000 0.2573 0.9176
0.5000 0.9176 0.2573
```

Results
VASP energy, eV per cell: -32.99
Total magnetization, μB/cell: 0.00

***

(7)
Below is a relaxed structure of TmNpZn, with properties calculated at the PBE level.

Geometry as POSCAR:
```
TmNpZn
1.0
0.0000 3.4382 3.4382
3.4382 0.0000 3.4382
3.4382 3.4382 0.0000
Tm Np Zn
1 1 1
Direct
0.0000 0.0000 0.0000
0.5000 0.5000 0.5000
0.7500 0.7500 0.7500
```

Results
Total magnetization, μB/cell: 5.09
Distance to the lowest polymorph of the same formula, meV/atom: 0.0
ΔE_f, eV per formula unit: 1.6

***

(8)
Below is a relaxed structure of Dy3Hf3Bi2Os, with properties calculated at the PBE level.

Geometry as POSCAR:
```
Dy3Hf3Bi2Os
1.0
8.1692 0.0000 0.0000
-4.0846 7.0748 0.0000
0.0000 0.0000 3.8652
Dy Hf Bi Os
3 3 2 1
Direct
0.0000 0.7513 0.0000
0.2487 0.2487 0.0000
0.7513 0.0000 0.0000
0.0000 0.3749 0.5000
0.3749 0.0000 0.5000
0.6251 0.6251 0.5000
0.3333 0.6667 0.0000
0.6667 0.3333 0.0000
0.0000 0.0000 0.5000
```

Results
Total magnetization, μB/cell: 0.03
Distance to the lowest polymorph of the same formula, meV/atom: 307.7